Entry 1:
Entry from Alexandria: a geometry-optimized La2HPbS structure (PBE).

```
data_La2HPbS
_chemical_formula_sum 'La2 H1 Pb1 S1'
_cell_length_a 6.108
_cell_length_b 5.390
_cell_length_c 6.108
_cell_angle_alpha 90.00
_cell_angle_beta 90.00
_cell_angle_gamma 90.00
_symmetry_space_group_name_H-M 'P 1'
_symmetry_Int_Tables_number 1
loop_
_symmetry_equiv_pos_as_xyz
'x,y,z'
loop_
_atom_site_label
_atom_site_fract_x
_atom_site_fract_y
_atom_site_fract_z
_atom_site_occupancy
S1 0.000 0.500 0.000 1
La1 0.500 0.000 0.000 1
La2 0.000 0.000 0.500 1
Pb1 0.000 0.000 0.000 1
H1 0.500 0.500 0.500 1
```

spin magnetization: 0.00 μB per formula unit
calculated total energy: -18.55 eV/cell
space-group type: P4/mmm, No. 123

Entry 2:
Entry from Alexandria: a geometry-optimized Cu2TcIr structure (PBE).

```
data_Cu2TcIr
_chemical_formula_sum 'Cu2 Tc1 Ir1'
_cell_length_a 4.968
_cell_length_b 4.968
_cell_length_c 4.968
_cell_angle_alpha 146.23
_cell_angle_beta 128.49
_cell_angle_gamma 63.02
_symmetry_space_group_name_H-M 'P 1'
_symmetry_Int_Tables_number 1
loop_
_symmetry_equiv_pos_as_xyz
'x,y,z'
loop_
_atom_site_label
_atom_site_fract_x
_atom_site_fract_y
_atom_site_fract_z
_atom_site_occupancy
Cu1 0.240 0.740 0.500 1
Cu2 0.012 0.012 0.000 1
Tc1 0.754 0.254 0.500 1
Ir1 0.494 0.494 0.000 1
```

DFT formation energy: 0.18 eV per atom
spin magnetization: 0.00 μB per formula unit
calculated total energy: -26.69 eV/cell
energy relative to the lowest polymorph listed for this composition: 0.59 eV per formula unit
space-group type: Imm2, No. 44